(1)
NiHg | Alexandria via LeMat-Bulk | PBE-GGA | optimized geometry; calculated volume = 17.63 Å³ per atom; Fermi-level density of states = 0.7782 states/eV/atom; E_form = 0.42 eV per atom; total magnetization = 0.000 μB per formula unit; density = 12.21 Mg/m³
1.0
-3.9089 -2.9868 1.5888
1.6563 -3.8065 -3.0810
3.0111 -1.8583 3.9147
Ni Hg
4 4
Direct
0.3151 0.6849 0.0000
0.8151 0.8151 0.5000
0.1849 0.1849 0.5000
0.6849 0.3151 0.0000
0.1982 0.1982 0.0000
0.6982 0.3018 0.5000
0.3018 0.6982 0.5000
0.8018 0.8018 0.0000

=====

(2)
Ni5Hg | Alexandria via LeMat-Bulk | PBE-GGA | optimized geometry; calculated volume = 12.50 Å³ per atom; Fermi-level density of states = 1.7740 states/eV/atom; E_form = 0.16 eV per atom; total magnetization = 2.387 μB per formula unit; density = 10.94 Mg/m³
1.0
-0.7917 -1.5806 3.2351
-1.4476 -2.9027 -1.7724
5.6469 -1.0064 0.8902
Ni Hg
5 1
Direct
0.0000 0.6757 0.3514
0.0000 0.3243 0.6486
0.5000 0.5000 0.0000
0.5000 0.1769 0.3539
0.5000 0.8231 0.6461
0.0000 0.0000 0.0000

=====

(3)
Ni5Hg | Alexandria via LeMat-Bulk | PBE-GGA | optimized geometry; calculated volume = 12.71 Å³ per atom; Fermi-level density of states = 1.8753 states/eV/atom; E_form = 0.22 eV per atom; total magnetization = 2.412 μB per formula unit; density = 10.76 Mg/m³
1.0
0.7650 1.9353 -6.6927
-2.7235 -0.1267 6.4567
2.6208 2.9898 1.1642
Ni Hg
5 1
Direct
0.2219 0.7781 0.5000
0.3249 0.6751 0.0000
0.5727 0.4273 0.5000
0.6776 0.3224 0.0000
0.8721 0.1279 0.5000
0.9976 0.0024 0.0000

=====

(4)
NiHg | Alexandria via LeMat-Bulk | PBE-GGA | optimized geometry; calculated volume = 18.18 Å³ per atom; Fermi-level density of states = 1.4277 states/eV/atom; E_form = 0.35 eV per atom; total magnetization = 0.361 μB per formula unit; density = 11.84 Mg/m³
1.0
3.3754 0.0000 0.0000
0.0000 3.3754 0.0000
0.0000 0.0000 6.3832
Hg Ni
2 2
Direct
0.2500 0.2500 0.3351
0.7500 0.7500 0.6649
0.2500 0.7500 0.0000
0.7500 0.2500 0.0000

=====

(5)
Ni2Hg | Alexandria via LeMat-Bulk | PBE-GGA | optimized geometry; calculated volume = 18.11 Å³ per atom; Fermi-level density of states = 2.1704 states/eV/atom; E_form = 0.88 eV per atom; total magnetization = 0.636 μB per formula unit; density = 9.72 Mg/m³
1.0
6.0122 0.0000 0.0000
0.0000 6.0122 0.0000
0.0000 0.0000 6.0122
Ni Hg
8 4
Direct
0.1093 0.6093 0.8907
0.1093 0.8907 0.3907
0.3907 0.1093 0.8907
0.3907 0.3907 0.3907
0.6093 0.6093 0.6093
0.6093 0.8907 0.1093
0.8907 0.1093 0.6093
0.8907 0.3907 0.1093
0.0000 0.0000 0.0000
0.0000 0.5000 0.5000
0.5000 0.0000 0.5000
0.5000 0.5000 0.0000

=====

(6)
Ni3Hg | Alexandria via LeMat-Bulk | PBE-GGA | optimized geometry; calculated volume = 13.49 Å³ per atom; Fermi-level density of states = 1.5501 states/eV/atom; E_form = 0.24 eV per atom; total magnetization = 1.206 μB per formula unit; density = 11.59 Mg/m³
1.0
2.7882 0.0000 0.0000
-1.3941 4.2685 0.0116
0.0000 -0.9430 4.5323
Hg Ni
1 3
Direct
0.0000 0.0000 0.0000
0.7580 0.5160 0.2859
0.5000 0.0000 0.5000
0.2420 0.4840 0.7141

=====

(7)
Ni2Hg | Alexandria via LeMat-Bulk | PBE-GGA | optimized geometry; calculated volume = 14.26 Å³ per atom; Fermi-level density of states = 1.2538 states/eV/atom; E_form = 0.29 eV per atom; total magnetization = 0.445 μB per formula unit; density = 12.34 Mg/m³
1.0
-0.1937 -3.7921 -1.7589
3.5467 2.2132 -0.1842
0.8543 -1.1674 2.4228
Hg Ni
1 2
Direct
0.0000 0.0000 0.0000
0.3333 0.6667 0.4926
0.6667 0.3333 0.5074

=====

(8)
Ni2Hg3 | Alexandria via LeMat-Bulk | PBE-GGA | optimized geometry; calculated volume = 18.23 Å³ per atom; Fermi-level density of states = 0.8799 states/eV/atom; E_form = 0.31 eV per atom; total magnetization = 0.000 μB per formula unit; energy above the lowest structure with this stoichiometry = 0.63 eV per formula unit; density = 13.10 Mg/m³
1.0
10.6962 -1.5713 0.0504
10.6962 1.5713 0.0504
10.4526 0.0000 2.7611
Ni Hg
2 3
Direct
0.6046 0.6046 0.6046
0.3954 0.3954 0.3954
0.0000 0.0000 0.0000
0.7906 0.7906 0.7906
0.2094 0.2094 0.2094

=====

(9)
Ni2Hg | Alexandria via LeMat-Bulk | PBE-GGA | optimized geometry; calculated volume = 14.16 Å³ per atom; Fermi-level density of states = 1.2856 states/eV/atom; E_form = 0.24 eV per atom; total magnetization = 0.380 μB per formula unit; density = 12.43 Mg/m³
1.0
5.4144 0.0000 -0.0051
0.0000 3.9491 0.0000
-1.9088 0.0000 7.9488
Ni Hg
8 4
Direct
0.5000 0.5000 0.5000
0.5000 0.0000 0.0000
0.3452 0.0000 0.6752
0.6548 0.0000 0.3248
0.3452 0.5000 0.1752
0.6548 0.5000 0.8248
0.0000 0.0000 0.0000
0.0000 0.5000 0.5000
0.8176 0.0000 0.6551
0.1824 0.0000 0.3449
0.8176 0.5000 0.1551
0.1824 0.5000 0.8449

=====

(10)
Ni5Hg | Alexandria via LeMat-Bulk | PBE-GGA | optimized geometry; calculated volume = 12.95 Å³ per atom; Fermi-level density of states = 1.8904 states/eV/atom; E_form = 0.31 eV per atom; total magnetization = 3.113 μB per formula unit; density = 10.56 Mg/m³
1.0
1.3434 -2.3268 0.0000
1.3434 2.3268 0.0000
0.0000 0.0000 12.4268
Ni Hg
5 1
Direct
0.0000 0.0000 0.3455
0.0000 0.0000 0.6545
0.6667 0.3333 0.1924
0.6667 0.3333 0.5000
0.6667 0.3333 0.8076
0.0000 0.0000 0.0000

=====

(11)
Ni3Hg | Alexandria via LeMat-Bulk | PBE-GGA | optimized geometry; calculated volume = 13.32 Å³ per atom; Fermi-level density of states = 1.1577 states/eV/atom; E_form = 0.20 eV per atom; total magnetization = 1.033 μB per formula unit; density = 11.74 Mg/m³
1.0
2.6796 -4.6413 0.0000
2.6796 4.6413 0.0000
0.0000 0.0000 4.2854
Ni Hg
6 2
Direct
0.8452 0.1548 0.2500
0.1548 0.8452 0.7500
0.8452 0.6905 0.2500
0.1548 0.3095 0.7500
0.3095 0.1548 0.2500
0.6905 0.8452 0.7500
0.3333 0.6667 0.2500
0.6667 0.3333 0.7500

=====

(12)
NiHg | Alexandria via LeMat-Bulk | PBE-GGA | optimized geometry; calculated volume = 30.43 Å³ per atom; Fermi-level density of states = 2.1238 states/eV/atom; E_form = 0.92 eV per atom; total magnetization = 0.118 μB per formula unit; density = 7.07 Mg/m³
1.0
-6.2450 3.4114 -0.6721
-1.8860 -2.1629 6.5463
2.9210 5.8969 2.7899
Ni Hg
6 6
Direct
0.2500 0.0000 0.5000
0.7500 0.0000 0.5000
0.0000 0.5000 0.2500
0.0000 0.5000 0.7500
0.5000 0.2500 0.0000
0.5000 0.7500 0.0000
0.2500 0.5000 0.0000
0.7500 0.5000 0.0000
0.5000 0.0000 0.2500
0.5000 0.0000 0.7500
0.0000 0.2500 0.5000
0.0000 0.7500 0.5000